CoSeN2F: optimized geometry, PBE+U.

```
CoSeN2F
1.0
3.8011 0.0000 0.0000
0.0000 3.8011 0.0000
0.0000 0.0000 3.7742
N Co Se F
2 1 1 1
direct
0.0000 0.5000 0.0000
0.5000 0.0000 0.0000
0.0000 0.0000 0.0000
0.5000 0.5000 0.5000
0.0000 0.0000 0.5000
```

ΔE to the lowest computed polymorph ... 0 meV/atom
Space-group type ... No. 123
N(E_F) ... 1.312 states/eV per cell